Nb2FeSi2: relaxed, PBE.

Cell lengths 6.5278, 6.5278, 6.5278 Å; angles 124.99, 74.34, 134.14 degrees
Positions (direct):
Nb 0.1261 0.1761 0.3023
Nb 0.3739 0.6761 0.0500
Nb 0.6261 0.3239 0.9500
Nb 0.8739 0.8239 0.6977
Fe 0.2500 0.7500 0.5000
Fe 0.7500 0.2500 0.5000
Si 0.1254 0.7338 0.8591
Si 0.3746 0.2338 0.6084
Si 0.6254 0.7662 0.3916
Si 0.8746 0.2662 0.1409

Summary:
The value obtained for the uncorrected formation energy is -1.44 eV/f.u. The volume comes out at 159.5 Å³ per cell.